No. 1
BaLiTi2Ga: PBEsol geometry, meta-GGA SCAN.

Fermi-level density of states ... 0.878 states/eV per atom
Formation energy from the elements ... 1.04 eV per atom
Symmetry ... P4/mmm
Total magnetic moment ... 0.00 μB per formula unit

Lattice parameters (Å, degrees): 4.7574 4.7574 4.8538 90.00 90.00 90.00
Last column: nearest neighbours and their distance in Å.
Element x y z (fractional)
1 Ba 0.0000 0.0000 0.0000  2 Li 2.43
2 Li 0.0000 0.0000 0.5000  4 Ti 2.38, 2 Ba 2.43
3 Ti 0.0000 0.5000 0.5000  2 Li 2.38
4 Ti 0.5000 0.0000 0.5000  2 Li 2.38
5 Ga 0.5000 0.5000 0.0000  4 Ba 3.36, 8 Ti 3.40

---

No. 2
ZrMnPb2: PBEsol geometry, meta-GGA SCAN.

Fermi-level density of states ... 0.651 states/eV per atom
Offset from the most stable computed form ... 0.431 eV per atom
Formation energy from the elements ... 0.27 eV per atom
Symmetry ... F-43m
Total magnetic moment ... 2.54 μB per formula unit

Lattice parameters (Å, degrees): 5.0159 5.0159 5.0159 60.00 60.00 60.00
Last column: nearest neighbours and their distance in Å.
Element x y z (fractional)
1 Zr 0.0000 0.0000 0.0000  4 Mn 3.07, 4 Pb 3.07
2 Mn 0.7500 0.7500 0.7500  4 Zr 3.07, 4 Pb 3.07
3 Pb 0.2500 0.2500 0.2500  4 Zr 3.07, 4 Pb 3.07
4 Pb 0.5000 0.5000 0.5000  4 Mn 3.07, 4 Pb 3.07

---

No. 3
Li3CoN: PBEsol geometry, meta-GGA SCAN.

Fermi-level density of states ... 0.435 states/eV per atom
Offset from the most stable computed form ... 0.000 eV per atom
Raw formation energy ... 207 meV/atom
Symmetry ... Pm-3m
Total magnetic moment ... 2.53 μB per formula unit

Lattice parameters (Å, degrees): 3.8252 3.8252 3.8252 90.00 90.00 90.00
Last column: nearest neighbours and their distance in Å.
Element x y z (fractional)
1 Li 0.0000 0.0000 0.5000  2 N 1.91
2 Li 0.0000 0.5000 0.0000  2 N 1.91
3 Li 0.5000 0.0000 0.0000  2 N 1.91
4 Co 0.5000 0.5000 0.5000  12 Li 2.70
5 N 0.0000 0.0000 0.0000  6 Li 1.91

---

No. 4
TlSiSe2F: PBEsol geometry, meta-GGA SCAN.

Fermi-level density of states ... 0.381 states/eV per atom
Raw formation energy ... 372 meV/atom
Symmetry ... P4/mmm
Total magnetic moment ... 0.00 μB per formula unit

Lattice parameters (Å, degrees): 4.6415 4.6415 4.9268 90.00 90.00 90.00
Last column: nearest neighbours and their distance in Å.
Element x y z (fractional)
1 Tl 0.0000 0.0000 0.0000  2 F 2.46
2 Si 0.5000 0.5000 0.0000  4 Tl 3.28, 8 Se 3.38
3 Se 0.0000 0.5000 0.5000  2 F 2.32
4 Se 0.5000 0.0000 0.5000  2 F 2.32
5 F 0.0000 0.0000 0.5000  4 Se 2.32, 2 Tl 2.46